[1]
First-principles (GGA-PBE) data for a geometry-optimized TlMoCl structure, as listed in Alexandria via LeMat-Bulk.

Unit cell a=7.9568 b=7.9568 c=7.9568 alpha=158.30 beta=158.30 gamma=30.87
Last column: nearest neighbours and their distance in Å.
Positions (direct):
Tl  0.0000  0.0000  0.0000  4 Tl 3.00, 4 Mo 3.23
Mo  0.6587  0.6587  0.0000  4 Cl 2.56
Cl  0.2521  0.2521  0.0000  4 Mo 2.56

E = -4.65 eV/atom
DOS at the Fermi energy = 0.432 states/eV per atom
excess energy over the best structure of this formula in the dataset = 198 meV per atom
symmetry = No. 107
ρ = 8104 kg/m³
magnetic moment = 0.000 μB per formula unit


[2]
First-principles (GGA-PBE) data for a geometry-optimized Pa2AgGe structure, as listed in Alexandria via LeMat-Bulk.

Unit cell a=11.4378 b=11.4378 c=11.4378 alpha=15.48 beta=15.48 gamma=15.48
Last column: nearest neighbours and their distance in Å.
Positions (direct):
Pa  0.0925  0.0925  0.0925  3 Ge 3.08, 6 Pa 3.08, 1 Ag 3.14
Pa  0.9075  0.9075  0.9075  3 Ge 3.08, 6 Pa 3.08, 1 Ag 3.14
Ag  0.0000  0.0000  0.0000  6 Ag 3.08, 2 Pa 3.14
Ge  0.5000  0.5000  0.5000  6 Pa 3.08, 6 Ge 3.08

formation enthalpy at 0 K = 205 meV per atom
E = -6.41 eV/atom
DOS at the Fermi energy = 1.975 states/eV per atom
excess energy over the best structure of this formula in the dataset = 287 meV per atom
symmetry = No. 166
ρ = 11491 kg/m³
magnetic moment = 0.001 μB per formula unit


[3]
First-principles (GGA-PBE) data for a geometry-optimized TiCdTe2Ru structure, as listed in Alexandria via LeMat-Bulk.

Unit cell a=5.2274 b=5.2274 c=5.2534 alpha=90.00 beta=90.00 gamma=90.00
Last column: nearest neighbours and their distance in Å.
Positions (direct):
Ti  0.0000  0.0000  0.0000  4 Te 2.61, 2 Cd 2.63
Cd  0.0000  0.0000  0.5000  2 Ti 2.63
Te  0.0000  0.5000  0.0000  2 Ti 2.61
Te  0.5000  0.0000  0.0000  2 Ti 2.61
Ru  0.5000  0.5000  0.5000  4 Cd 3.70, 8 Te 3.71

E = -4.00 eV/atom
DOS at the Fermi energy = 0.675 states/eV per atom
symmetry = No. 123
ρ = 5975 kg/m³
magnetic moment = 2.552 μB per formula unit


[4]
First-principles (GGA-PBE) data for a geometry-optimized HoBeSb structure, as listed in Alexandria via LeMat-Bulk.

Unit cell a=9.7085 b=9.7085 c=9.7085 alpha=24.28 beta=24.28 gamma=24.28
Last column: nearest neighbours and their distance in Å.
Positions (direct):
Ho  0.0601  0.0601  0.0601  6 Be 2.90-2.91, 3 Sb 3.14
Ho  0.9399  0.9399  0.9399  6 Be 2.90-2.91, 3 Sb 3.14
Be  0.3329  0.3329  0.3329  3 Be 2.36
Be  0.6671  0.6671  0.6671  3 Be 2.36
Sb  0.1999  0.1999  0.1999  3 Sb 3.01, 3 Ho 3.14
Sb  0.8001  0.8001  0.8001  3 Sb 3.01, 3 Ho 3.14

E = -4.27 eV/atom
DOS at the Fermi energy = 0.666 states/eV per atom
symmetry = No. 166
ρ = 7219 kg/m³
magnetic moment = 0.000 μB per formula unit


[5]
First-principles (GGA-PBE) data for a geometry-optimized La3HgN structure, as listed in Alexandria via LeMat-Bulk.

Unit cell a=7.2127 b=7.2127 c=6.0720 alpha=90.00 beta=90.00 gamma=120.00
Last column: nearest neighbours and their distance in Å.
Positions (direct):
La  0.0979  0.7787  0.2500  2 N 2.54
La  0.2213  0.3191  0.2500  2 N 2.54
La  0.3191  0.0979  0.7500  2 N 2.54
La  0.6809  0.9021  0.2500  2 N 2.54
La  0.7787  0.6809  0.7500  2 N 2.54
La  0.9021  0.2213  0.7500  2 N 2.54
Hg  0.3333  0.6667  0.7500  3 La 3.16
Hg  0.6667  0.3333  0.2500  3 La 3.16
N  0.0000  0.0000  0.0000  6 La 2.54
N  0.0000  0.0000  0.5000  6 La 2.54

E = -5.44 eV/atom
DOS at the Fermi energy = 0.838 states/eV per atom
symmetry = No. 176
ρ = 7661 kg/m³
magnetic moment = 0.000 μB per formula unit


[6]
First-principles (GGA-PBE) data for a geometry-optimized LiIn2HgN structure, as listed in Alexandria via LeMat-Bulk.

Unit cell a=5.9377 b=5.9377 c=3.9969 alpha=90.00 beta=90.00 gamma=90.00
Last column: nearest neighbours and their distance in Å.
Positions (direct):
Li  0.0000  0.0000  0.0000  8 In 3.58, 2 Li 4.00
In  0.0000  0.5000  0.5000  2 Hg 2.97
In  0.5000  0.0000  0.5000  2 Hg 2.97
Hg  0.5000  0.5000  0.5000  2 N 2.00
N  0.5000  0.5000  0.0000  2 Hg 2.00

E = -2.32 eV/atom
DOS at the Fermi energy = 0.438 states/eV per atom
symmetry = No. 123
ρ = 5317 kg/m³
magnetic moment = 0.000 μB per formula unit


E of number 1 (TlMoCl)?
-4.65 eV/atom


What is the DOS at the Fermi energy in the fifth record?
0.838 states/eV per atom


What did the first record say?
First-principles (GGA-PBE) data for a geometry-optimized TlMoCl structure, as listed in Alexandria via LeMat-Bulk.

Unit cell a=7.9568 b=7.9568 c=7.9568 alpha=158.30 beta=158.30 gamma=30.87
Last column: nearest neighbours and their distance in Å.
Positions (direct):
Tl  0.0000  0.0000  0.0000  4 Tl 3.00, 4 Mo 3.23
Mo  0.6587  0.6587  0.0000  4 Cl 2.56
Cl  0.2521  0.2521  0.0000  4 Mo 2.56

E = -4.65 eV/atom
DOS at the Fermi energy = 0.432 states/eV per atom
excess energy over the best structure of this formula in the dataset = 198 meV per atom
symmetry = No. 107
ρ = 8104 kg/m³
magnetic moment = 0.000 μB per formula unit


Which value of DOS at the Fermi energy does entry 6 give?
0.438 states/eV per atom